Record 1
DFT (GGA-PBE) results for Li2B6Os after structural relaxation.

## Properties
The calculation puts the final energy at -6.19 eV/atom. Its space group is Pbam, No. 55. The total magnetization is 0.00 μB/f.u.

Cell and atoms, written as CIF:
```
data_Li2B6Os
_symmetry_space_group_name_H-M 'P 1'
_symmetry_Int_Tables_number 1
_cell_length_a 8.836
_cell_length_b 10.912
_cell_length_c 3.355
_cell_angle_alpha 90.00
_cell_angle_beta 90.00
_cell_angle_gamma 90.00
loop_
_symmetry_equiv_pos_as_xyz
'x,y,z'
loop_
_atom_site_label
_atom_site_fract_x
_atom_site_fract_y
_atom_site_fract_z
_atom_site_occupancy
Li1 0.053 0.133 0.000 1
Li2 0.169 0.412 0.000 1
Li3 0.331 0.912 0.000 1
Li4 0.447 0.633 0.000 1
Li5 0.553 0.367 0.000 1
Li6 0.669 0.088 0.000 1
Li7 0.831 0.588 0.000 1
Li8 0.947 0.867 0.000 1
B1 0.020 0.289 0.500 1
B2 0.055 0.562 0.500 1
B3 0.096 0.973 0.500 1
B4 0.131 0.821 0.500 1
B5 0.198 0.239 0.500 1
B6 0.240 0.077 0.500 1
B7 0.260 0.577 0.500 1
B8 0.302 0.739 0.500 1
B9 0.369 0.321 0.500 1
B10 0.404 0.473 0.500 1
B11 0.445 0.062 0.500 1
B12 0.480 0.789 0.500 1
B13 0.520 0.211 0.500 1
B14 0.555 0.938 0.500 1
B15 0.596 0.527 0.500 1
B16 0.631 0.679 0.500 1
B17 0.698 0.261 0.500 1
B18 0.740 0.423 0.500 1
B19 0.760 0.923 0.500 1
B20 0.802 0.761 0.500 1
B21 0.869 0.179 0.500 1
B22 0.904 0.027 0.500 1
B23 0.945 0.438 0.500 1
B24 0.980 0.711 0.500 1
Os1 0.151 0.680 0.000 1
Os2 0.349 0.180 0.000 1
Os3 0.651 0.820 0.000 1
Os4 0.849 0.320 0.000 1
```

Record 2
DFT (GGA-PBE) results for LiBOs after structural relaxation.

## Properties
The calculation puts the final energy at -6.49 eV/atom. Its space group is F-43m, No. 216. The total magnetization is 0.00 μB/f.u.

Cell and atoms, written as CIF:
```
data_LiBOs
_symmetry_space_group_name_H-M 'P 1'
_symmetry_Int_Tables_number 1
_cell_length_a 3.552
_cell_length_b 3.552
_cell_length_c 3.552
_cell_angle_alpha 60.00
_cell_angle_beta 60.00
_cell_angle_gamma 60.00
loop_
_symmetry_equiv_pos_as_xyz
'x,y,z'
loop_
_atom_site_label
_atom_site_fract_x
_atom_site_fract_y
_atom_site_fract_z
_atom_site_occupancy
Li1 0.000 0.000 0.000 1
B1 0.250 0.250 0.250 1
Os1 0.500 0.500 0.500 1
```

Record 3
DFT (GGA-PBE) results for LiBOs after structural relaxation.

## Properties
The calculation puts the final energy at -5.73 eV/atom. Its space group is F-43m, No. 216. The total magnetization is 0.00 μB/f.u.

Cell and atoms, written as CIF:
```
data_LiBOs
_symmetry_space_group_name_H-M 'P 1'
_symmetry_Int_Tables_number 1
_cell_length_a 3.671
_cell_length_b 3.671
_cell_length_c 3.671
_cell_angle_alpha 60.00
_cell_angle_beta 60.00
_cell_angle_gamma 60.00
loop_
_symmetry_equiv_pos_as_xyz
'x,y,z'
loop_
_atom_site_label
_atom_site_fract_x
_atom_site_fract_y
_atom_site_fract_z
_atom_site_occupancy
Li1 0.000 0.000 0.000 1
B1 0.500 0.500 0.500 1
Os1 0.750 0.750 0.750 1
```